{
  "formula": "NaVPt3",
  "functional": "PBE-GGA",
  "state": "relaxed",
  "formation_enthalpy_0k_ev_per_atom": 0.365,
  "n_ef_per_ev_fu": 3.9,
  "spacegroup": "No. 221",
  "magnetic_moment_mub_per_fu": 0.003,
  "de_polymorph_ev_per_fu": 0.00,
  "lattice": [[-2.983, -3.501, 0.959], [3.549, -3.074, -0.186], [0.766, 0.606, 4.596]],
  "species": ["Pt", "Pt", "V", "Na", "Pt"],
  "frac_coords": [[0.000, 0.500, 0.000], [0.500, 0.000, 0.000], [0.000, 0.000, 0.000], [0.500, 0.500, 0.500], [0.000, 0.000, 0.500]]
}